Material: SrLi4Rh
Method: DFT, PBE-GGA
State: relaxed

The crystal system is orthorhombic. The calculation puts the formation energy from the elements at -69 meV/atom.

It has space group Pmma (No. 51), with a = 6.928 Å, b = 4.643 Å, c = 7.842 Å, α = 90.00°, β = 90.00° and γ = 90.00°. Symmetry generates all atoms from Sr at (0.250, 0.000, 0.115), Li at (0.000, 0.000, 0.500), Li at (0.070, 0.500, 0.796), Li at (0.250, 0.500, 0.500) and Rh at (0.250, 0.000, 0.742).

=====

Material: CePr2Nd
Method: DFT, PBE-GGA
State: relaxed

The crystal system is tetragonal. The calculation puts the formation energy from the elements at 65 meV/atom.

It has space group P4/mmm (No. 123), with a = 3.610 Å, b = 3.610 Å, c = 10.432 Å, α = 90.00°, β = 90.00° and γ = 90.00°. Symmetry generates all atoms from Ce at (0.000, 0.000, 0.000), Pr at (0.500, 0.500, 0.237) and Nd at (0.000, 0.000, 0.500).

=====

Material: LiAsSe
Method: DFT, PBE-GGA
State: relaxed

The value obtained for the formation energy (no corrections) is -160 meV per atom. The crystal system is trigonal.

It has space group P3m1 (No. 156), with a = 4.9979 Å, b = 4.9979 Å, c = 2.6997 Å, α = 90.00°, β = 90.00° and γ = 120.00°. Symmetry generates all atoms from Li at (0.0000, 0.0000, 0.0000), As at (0.3333, 0.6667, 0.5026) and Se at (0.6667, 0.3333, 0.5041).

=====

Material: SbW2Au
Method: DFT, PBE-GGA
State: relaxed

The value obtained for the formation energy (no corrections) is 599 meV per atom. The crystal system is orthorhombic.

It has space group Imm2 (No. 44), with a = 3.368 Å, b = 4.701 Å, c = 9.117 Å, α = 90.00°, β = 90.00° and γ = 90.00°. Symmetry generates all atoms from Sb at (0.000, 0.000, 0.000), W at (0.000, 0.000, 0.524), W at (0.000, 0.500, 0.247) and Au at (0.000, 0.500, 0.756).

=====

Material: LiMoOs2
Method: DFT, PBE-GGA
State: relaxed

The crystal system is orthorhombic. The calculation puts the formation energy from the elements at 386 meV/atom.

It has space group Cmmm (No. 65), with a = 5.620 Å, b = 7.484 Å, c = 2.730 Å, α = 90.00°, β = 90.00° and γ = 90.00°. Symmetry generates all atoms from Li at (0.000, 0.000, 0.000), Mo at (0.000, 0.500, 0.000) and Os at (0.250, 0.250, 0.500).

=====

Material: HfMo6W2
Method: DFT, PBE-GGA
State: relaxed

The crystal system is monoclinic. The calculation puts the formation energy from the elements at 601 meV/atom.

It has space group C2/m (No. 12), with a = 13.482 Å, b = 5.361 Å, c = 4.707 Å, α = 90.00°, β = 110.37° and γ = 90.00°. Symmetry generates all atoms from Hf at (0.000, 0.000, 0.000), Mo at (0.000, 0.262, 0.500), Mo at (0.201, 0.250, 0.700) and W at (0.105, 0.500, 0.105).

=====

Material: KNiMo2
Method: DFT, PBE-GGA
State: relaxed

The crystal system is orthorhombic. The calculation puts the formation energy from the elements at 821 meV/atom.

It has space group Cmmm (No. 65), with a = 3.449 Å, b = 4.066 Å, c = 10.237 Å, α = 90.00°, β = 90.00° and γ = 90.00°. Symmetry generates all atoms from K at (0.000, 0.000, 0.000), Ni at (0.000, 0.000, 0.500) and Mo at (0.000, 0.500, 0.312).

=====

Material: Ho2NpSe4
Method: DFT, PBE-GGA
State: relaxed

The value obtained for the formation energy (no corrections) is -1591 meV per atom. The crystal system is orthorhombic.

It has space group Cmcm (No. 63), with a = 4.015 Å, b = 13.385 Å, c = 13.701 Å, α = 90.00°, β = 90.00° and γ = 90.00°. Symmetry generates all atoms from Ho at (0.000, 0.133, 0.067), Np at (0.000, 0.380, 0.250), Se at (0.000, 0.039, 0.250), Se at (0.000, 0.227, 0.623) and Se at (0.000, 0.500, 0.000).

=====

Material: Dy5Er2Th2
Method: DFT, PBE-GGA
State: relaxed

The crystal system is monoclinic. The calculation puts the formation energy from the elements at 295 meV/atom.

It has space group C2/m (No. 12), with a = 22.867 Å, b = 3.471 Å, c = 8.158 Å, α = 90.00°, β = 101.92° and γ = 90.00°. Symmetry generates all atoms from Dy at (0.000, 0.000, 0.000), Dy at (0.091, 0.000, 0.735), Dy at (0.195, 0.500, 0.558), Er at (0.161, 0.000, 0.181) and Th at (0.052, 0.500, 0.360).

=====

Material: Be2Si
Method: DFT, PBE-GGA
State: relaxed

The value obtained for the formation energy (no corrections) is 341 meV per atom. The crystal system is orthorhombic.

It has space group Cmcm (No. 63), with a = 2.534 Å, b = 12.562 Å, c = 3.896 Å, α = 90.00°, β = 90.00° and γ = 90.00°. Symmetry generates all atoms from Be at (0.000, 0.058, 0.250), Be at (0.000, 0.279, 0.750) and Si at (0.000, 0.385, 0.250).

=====

Material: Sm3TlRu
Method: DFT, PBE-GGA
State: relaxed

The crystal system is monoclinic. The calculation puts the formation energy from the elements at -246 meV/atom.

It has space group C2/m (No. 12), with a = 12.300 Å, b = 5.640 Å, c = 9.014 Å, α = 90.00°, β = 112.31° and γ = 90.00°. Symmetry generates all atoms from Sm at (0.105, 0.000, 0.221), Sm at (0.111, 0.500, 0.897), Sm at (0.163, 0.000, 0.658), Tl at (0.115, 0.500, 0.464) and Ru at (0.144, 0.000, 0.943).

=====

Material: NiMoPt2
Method: DFT, PBE-GGA
State: relaxed

The crystal system is orthorhombic. The calculation puts the formation energy from the elements at -184 meV/atom.

It has space group Cmcm (No. 63), with a = 5.460 Å, b = 9.694 Å, c = 4.408 Å, α = 90.00°, β = 90.00° and γ = 90.00°. Symmetry generates all atoms from Ni at (0.000, 0.079, 0.250), Mo at (0.000, 0.413, 0.750) and Pt at (0.248, 0.162, 0.750).

=====

Sequential E output: -2.8508, -5.0002, -3.5095, -7.7279, -8.4154, -10.6038, -6.3142, -6.7389, -4.9240, -3.9513, -5.4064, -7.3575 eV/atom